VASP calculation (PBE-GGA) on a geometry-optimized BRuI3 structure.

```
BRuI3
1.0
-0.5334 -5.2474 -1.2934
4.0133 -1.2551 3.4367
-3.6196 -0.6183 4.0011
I Ru B
3 1 1
direct
0.0000 0.5000 0.0000
0.0000 0.0000 0.5000
0.5000 0.0000 0.0000
0.0000 0.0000 0.0000
0.5000 0.5000 0.5000
```

Space-group type: Pm-3m
Excess energy over the best structure of this formula in the dataset: 0.0000 eV per atom
Crystal system: cubic
ΔE_f (raw): 1.251 eV/atom

=====

VASP calculation (PBE-GGA) on a geometry-optimized B3RuI structure.

```
B3RuI
1.0
4.2594 0.0000 0.0000
0.0000 4.2594 0.0000
0.0000 0.0000 4.2594
I Ru B
1 1 3
direct
0.5000 0.5000 0.5000
0.0000 0.0000 0.0000
0.0000 0.5000 0.0000
0.0000 0.0000 0.5000
0.5000 0.0000 0.0000
```

Space-group type: Pm-3m
Excess energy over the best structure of this formula in the dataset: 0.0000 eV per atom
Crystal system: cubic
ΔE_f (raw): 1.334 eV/atom

=====

VASP calculation (PBE-GGA) on a geometry-optimized BRu2I2 structure.

```
BRu2I2
1.0
4.1303 0.0000 0.0000
0.0000 4.1303 0.0000
2.0652 2.0652 6.5662
I Ru B
2 2 1
direct
0.3705 0.3705 0.2591
0.6295 0.6295 0.7409
0.7500 0.2500 0.5000
0.2500 0.7500 0.5000
0.0000 0.0000 0.0000
```

Space-group type: I4/mmm
Excess energy over the best structure of this formula in the dataset: 0.0000 eV per atom
Crystal system: tetragonal
ΔE_f (raw): 1.449 eV/atom

=====

VASP calculation (PBE-GGA) on a geometry-optimized BRu3I structure.

```
BRu3I
1.0
-3.7152 -1.8104 0.7725
1.8722 -3.7597 0.1927
0.6078 0.5143 4.1284
I Ru B
1 3 1
direct
0.5000 0.5000 0.5000
0.0000 0.5000 0.0000
0.0000 0.0000 0.5000
0.5000 0.0000 0.0000
0.0000 0.0000 0.0000
```

Space-group type: Pm-3m
Excess energy over the best structure of this formula in the dataset: 0.0000 eV per atom
Crystal system: cubic
ΔE_f (raw): 0.619 eV/atom

=====

VASP calculation (PBE-GGA) on a geometry-optimized BRuI3 structure.

```
BRuI3
1.0
5.0942 0.0000 0.0000
0.0000 5.0942 0.0000
0.0000 0.0000 5.0942
I Ru B
3 1 1
direct
0.0000 0.5000 0.0000
0.0000 0.0000 0.5000
0.5000 0.0000 0.0000
0.5000 0.5000 0.5000
0.0000 0.0000 0.0000
```

Space-group type: Pm-3m
Excess energy over the best structure of this formula in the dataset: 0.1487 eV per atom
Crystal system: cubic
ΔE_f (raw): 1.399 eV/atom

=====

VASP calculation (PBE-GGA) on a geometry-optimized B3RuI structure.

```
B3RuI
1.0
4.3204 0.0000 0.0000
0.0000 4.3204 0.0000
0.0000 0.0000 4.3204
I Ru B
1 1 3
direct
0.0000 0.0000 0.0000
0.5000 0.5000 0.5000
0.0000 0.5000 0.0000
0.0000 0.0000 0.5000
0.5000 0.0000 0.0000
```

Space-group type: Pm-3m
Excess energy over the best structure of this formula in the dataset: 1.6781 eV per atom
Crystal system: cubic
ΔE_f (raw): 3.012 eV/atom

=====

VASP calculation (PBE-GGA) on a geometry-optimized BSb2RuI structure.

```
BSb2RuI
1.0
-2.5904 3.5966 2.3436
-4.2471 -1.7489 -2.0104
-0.7252 -3.5105 4.5859
I Sb B Ru
1 2 1 1
direct
0.0000 0.0000 0.5000
0.0000 0.5000 0.0000
0.5000 0.0000 0.0000
0.5000 0.5000 0.5000
0.0000 0.0000 0.0000
```

Space-group type: P4/mmm
Excess energy over the best structure of this formula in the dataset: 0.0219 eV per atom
Crystal system: tetragonal
ΔE_f (raw): 1.279 eV/atom

=====

VASP calculation (PBE-GGA) on a geometry-optimized BSb2RuI structure.

```
BSb2RuI
1.0
-0.0870 2.5348 3.9139
-4.4269 1.1851 -0.8659
-1.5194 -3.8693 2.4722
I Sb B Ru
1 2 1 1
direct
0.0000 0.0000 0.5000
0.0000 0.5000 0.0000
0.5000 0.0000 0.0000
0.0000 0.0000 0.0000
0.5000 0.5000 0.5000
```

Space-group type: P4/mmm
Excess energy over the best structure of this formula in the dataset: 0.0000 eV per atom
Crystal system: tetragonal
ΔE_f (raw): 1.257 eV/atom

=====

Number 1: calculated total energy -2.870 eV per atom. Number 2: calculated total energy -4.838 eV per atom. Number 3: calculated total energy -4.217 eV per atom. Number 4: calculated total energy -6.592 eV per atom. Number 5: calculated total energy -2.721 eV per atom. Number 6: calculated total energy -3.160 eV per atom. Number 7: calculated total energy -3.870 eV per atom. Number 8: calculated total energy -3.892 eV per atom.